# Mn3NiI

Mn3NiI after structural relaxation (GGA-PBEsol, the Alexandria database).

CIF file:
```
data_Mn3NiI
_chemical_formula_sum 'Mn3 Ni1 I1'
_space_group_name_H-M_alt 'P m -3 m'
_space_group_IT_number 221
_space_group_name_Hall '-P 4 2 3'
_cell_length_a 4.684
_cell_length_b 4.684
_cell_length_c 4.684
_cell_angle_alpha 90.00
_cell_angle_beta 90.00
_cell_angle_gamma 90.00
loop_
_atom_site_label
_atom_site_type_symbol
_atom_site_fract_x
_atom_site_fract_y
_atom_site_fract_z
Mn1 Mn 0.000 0.000 0.500
Ni1 Ni 0.500 0.500 0.500
I1 I 0.000 0.000 0.000
```

## Properties
volume	102.7	Å³/cell
ΔE_f (raw)	1.8272	eV per atom
energy	-5.61	eV per atom
density of states at the Fermi level	4.07	states/eV/cell